1.
# BeFeOs

A relaxed BeFeOs crystal (PBE, Alexandria).

Lattice parameters (Å, degrees): 4.3278 4.3278 4.5807 90.00 90.00 129.40
Last column: nearest neighbours and their distance in Å.
Atoms (fractional coordinates):
Be  0.1100  0.8900  0.7500  4 Fe 2.34, 5 Os 2.36-2.44
Be  0.8900  0.1100  0.2500  4 Fe 2.34, 5 Os 2.36-2.44
Fe  0.5000  0.5000  0.0000  2 Fe 2.29, 4 Be 2.34
Fe  0.5000  0.5000  0.5000  2 Fe 2.29, 4 Be 2.34
Os  0.2024  0.7976  0.2500  5 Be 2.36-2.44, 2 Fe 2.60
Os  0.7976  0.2024  0.7500  5 Be 2.36-2.44, 2 Fe 2.60

ρ, g/cm3: 12.78
V, Å³/cell: 66.3
E, eV/atom: -7.797
ΔH_f (0 K), eV per atom: 0.009
Fermi-level density of states, states/eV per cell: 5.4
Energy above the lowest structure with this stoichiometry, eV per formula unit: 0.35

=====

2.
# Ac2Pd9Au

A relaxed Ac2Pd9Au crystal (PBE, Alexandria).

Lattice parameters (Å, degrees): 9.5761 9.5761 9.5761 33.34 33.34 33.34
Last column: nearest neighbours and their distance in Å.
Atoms (fractional coordinates):
Ac  0.1310  0.1310  0.1310  9 Pd 3.04-3.32
Ac  0.8690  0.8690  0.8690  9 Pd 3.04-3.32
Pd  0.0806  0.5841  0.5841  7 Pd 2.73-2.78, 2 Ac 3.04
Pd  0.3329  0.3329  0.3329  6 Pd 2.74-2.77
Pd  0.4159  0.4159  0.9194  7 Pd 2.73-2.78, 2 Ac 3.04
Pd  0.4159  0.9194  0.4159  7 Pd 2.73-2.78, 2 Ac 3.04
Pd  0.5000  0.5000  0.5000  6 Pd 2.78
Pd  0.5841  0.0806  0.5841  7 Pd 2.73-2.78, 2 Ac 3.04
Pd  0.5841  0.5841  0.0806  7 Pd 2.73-2.78, 2 Ac 3.04
Pd  0.6671  0.6671  0.6671  6 Pd 2.74-2.77
Pd  0.9194  0.4159  0.4159  7 Pd 2.73-2.78, 2 Ac 3.04
Au  0.0000  0.0000  0.0000  18 Pd 3.17-3.55, 2 Ac 3.55

ρ, g/cm3: 11.31
V, Å³/cell: 236.1
E, eV/atom: -5.247
ΔH_f (0 K), eV per atom: -0.395
Fermi-level density of states, states/eV per cell: 12.5
Energy above the lowest structure with this stoichiometry, eV per formula unit: 0.92

=====

3.
# Sm14Au51

A relaxed Sm14Au51 crystal (PBE, Alexandria).

Lattice parameters (Å, degrees): 12.9457 12.9457 9.3280 90.00 90.00 120.00
Last column: nearest neighbours and their distance in Å.
Atoms (fractional coordinates):
Sm  0.0000  0.0000  0.2004  15 Au 3.13-3.37
Sm  0.0000  0.0000  0.7996  15 Au 3.13-3.37
Sm  0.1126  0.3848  0.5000  13 Au 3.09-3.34
Sm  0.1436  0.6774  0.0000  14 Au 3.09-3.32
Sm  0.2722  0.8874  0.5000  13 Au 3.09-3.34
Sm  0.3226  0.4662  0.0000  14 Au 3.09-3.32
Sm  0.4004  0.2862  0.5000  12 Au 3.00-3.28
Sm  0.4620  0.1423  0.0000  14 Au 3.11-3.39
Sm  0.5338  0.8564  0.0000  14 Au 3.09-3.32
Sm  0.6152  0.7278  0.5000  13 Au 3.09-3.34
Sm  0.6803  0.5380  0.0000  14 Au 3.11-3.39
Sm  0.7138  0.1141  0.5000  12 Au 3.00-3.28
Sm  0.8577  0.3197  0.0000  14 Au 3.11-3.39
Sm  0.8859  0.5996  0.5000  12 Au 3.00-3.28
Au  0.0572  0.2336  0.0000  8 Au 2.76-2.95
Au  0.0783  0.8059  0.2651  8 Au 2.81-3.13, 1 Sm 3.09
Au  0.0783  0.8059  0.7349  8 Au 2.81-3.13, 1 Sm 3.09
Au  0.1012  0.4404  0.1620  7 Au 2.82-3.12, 2 Sm 3.11-3.12
Au  0.1012  0.4404  0.8380  7 Au 2.82-3.12, 2 Sm 3.11-3.12
Au  0.1162  0.6186  0.3490  7 Au 2.81-3.09
Au  0.1162  0.6186  0.6510  7 Au 2.81-3.09
Au  0.1368  0.1130  0.5000  6 Au 2.84-2.89, 1 Sm 3.00
Au  0.1765  0.9428  0.0000  8 Au 2.76-2.95
Au  0.1941  0.2725  0.2651  8 Au 2.81-3.13, 1 Sm 3.09
Au  0.1941  0.2725  0.7349  8 Au 2.81-3.13, 1 Sm 3.09
Au  0.2402  0.1809  0.0000  8 Au 2.76-2.99
Au  0.2644  0.0738  0.2725  7 Au 2.79-3.13
Au  0.2644  0.0738  0.7275  7 Au 2.79-3.13
Au  0.3333  0.6667  0.1906  7 Au 2.89-2.98, 3 Sm 3.09
Au  0.3333  0.6667  0.5000  8 Au 2.89-2.92
Au  0.3333  0.6667  0.8094  7 Au 2.89-2.98, 3 Sm 3.09
Au  0.3392  0.8988  0.1620  7 Au 2.82-3.12, 2 Sm 3.11-3.12
Au  0.3392  0.8988  0.8380  7 Au 2.82-3.12, 2 Sm 3.11-3.12
Au  0.3814  0.4976  0.3490  7 Au 2.81-3.09
Au  0.3814  0.4976  0.6510  7 Au 2.81-3.09
Au  0.4454  0.3447  0.1616  6 Au 2.83-3.06, 2 Sm 3.12-3.13
Au  0.4454  0.3447  0.8384  6 Au 2.83-3.06, 2 Sm 3.12-3.13
Au  0.4917  0.1173  0.3479  7 Au 2.79-3.09
Au  0.4917  0.1173  0.6521  7 Au 2.79-3.09
Au  0.5024  0.8838  0.3490  7 Au 2.81-3.09
Au  0.5024  0.8838  0.6510  7 Au 2.81-3.09
Au  0.5596  0.6608  0.1620  7 Au 2.82-3.12, 2 Sm 3.11-3.12
Au  0.5596  0.6608  0.8380  7 Au 2.82-3.12, 2 Sm 3.11-3.12
Au  0.6256  0.5083  0.3479  7 Au 2.79-3.09
Au  0.6256  0.5083  0.6521  7 Au 2.79-3.09
Au  0.6553  0.1008  0.1616  6 Au 2.83-3.06, 2 Sm 3.12-3.13
Au  0.6553  0.1008  0.8384  6 Au 2.83-3.06, 2 Sm 3.12-3.13
Au  0.6667  0.3333  0.1887  7 Au 2.90-2.97, 3 Sm 3.11
Au  0.6667  0.3333  0.5000  8 Au 2.90-2.94, 3 Sm 3.19
Au  0.6667  0.3333  0.8113  7 Au 2.90-2.97, 3 Sm 3.11
Au  0.7275  0.9217  0.2651  8 Au 2.81-3.13, 1 Sm 3.09
Au  0.7275  0.9217  0.7349  8 Au 2.81-3.13, 1 Sm 3.09
Au  0.7664  0.8235  0.0000  8 Au 2.76-2.95
Au  0.8093  0.7356  0.2725  7 Au 2.79-3.13
Au  0.8093  0.7356  0.7275  7 Au 2.79-3.13
Au  0.8191  0.0593  0.0000  8 Au 2.76-2.99
Au  0.8827  0.3744  0.3479  7 Au 2.79-3.09
Au  0.8827  0.3744  0.6521  7 Au 2.79-3.09
Au  0.8870  0.0238  0.5000  6 Au 2.84-2.89, 1 Sm 3.00
Au  0.8992  0.5546  0.1616  6 Au 2.83-3.06, 2 Sm 3.12-3.13
Au  0.8992  0.5546  0.8384  6 Au 2.83-3.06, 2 Sm 3.12-3.13
Au  0.9262  0.1907  0.2725  7 Au 2.79-3.13
Au  0.9262  0.1907  0.7275  7 Au 2.79-3.13
Au  0.9407  0.7598  0.0000  8 Au 2.76-2.99
Au  0.9762  0.8632  0.5000  6 Au 2.84-2.89, 1 Sm 3.00

ρ, g/cm3: 14.90
V, Å³/cell: 1353.9
E, eV/atom: -4.222
ΔH_f (0 K), eV per atom: -0.634
Fermi-level density of states, states/eV per cell: 21.3

=====

4.
# U2Al5Ir3

A relaxed U2Al5Ir3 crystal (PBE, Alexandria).

Lattice parameters (Å, degrees): 12.5587 12.5587 6.7694 90.00 90.00 160.64
Last column: nearest neighbours and their distance in Å.
Atoms (fractional coordinates):
U  0.0204  0.9796  0.5000  3 Ir 2.71-2.91
U  0.3251  0.6749  0.4290  4 Ir 2.98-3.14, 10 Al 3.01-3.32
U  0.6749  0.3251  0.9290  4 Ir 2.98-3.14, 10 Al 3.01-3.32
U  0.9796  0.0204  0.0000  3 Ir 2.71-2.91
Al  0.1016  0.8984  0.1302  3 Ir 2.59-2.66, 1 Al 2.75
Al  0.2061  0.7939  0.6086  4 Ir 2.56-2.58, 1 Al 2.65
Al  0.2102  0.7898  0.2172  3 Ir 2.53-2.54, 2 Al 2.65-2.75
Al  0.3717  0.6283  0.9698  4 Ir 2.58-2.83
Al  0.4442  0.5558  0.3310  4 Ir 2.56-2.64
Al  0.5558  0.4442  0.8310  4 Ir 2.56-2.64
Al  0.6283  0.3717  0.4698  4 Ir 2.58-2.83
Al  0.7898  0.2102  0.7172  3 Ir 2.53-2.54, 2 Al 2.65-2.75
Al  0.7939  0.2061  0.1086  4 Ir 2.56-2.58, 1 Al 2.65
Al  0.8984  0.1016  0.6302  3 Ir 2.59-2.66, 1 Al 2.75
Ir  0.1082  0.8918  0.7376  6 Al 2.56-2.83, 1 U 2.71
Ir  0.2686  0.7314  0.9104  7 Al 2.53-2.58
Ir  0.4537  0.5463  0.7200  5 Al 2.59-2.64
Ir  0.5463  0.4537  0.2200  5 Al 2.59-2.64
Ir  0.7314  0.2686  0.4104  7 Al 2.53-2.58
Ir  0.8918  0.1082  0.2376  6 Al 2.56-2.83, 1 U 2.71

ρ, g/cm3: 11.14
V, Å³/cell: 354.0
E, eV/atom: -7.413
ΔH_f (0 K), eV per atom: -0.625
Fermi-level density of states, states/eV per cell: 26.1

=====

5.
# K2DyAsSe4

A relaxed K2DyAsSe4 crystal (PBE, Alexandria).

Lattice parameters (Å, degrees): 8.5884 8.5884 8.5884 120.39 119.66 89.96
Last column: nearest neighbours and their distance in Å.
Atoms (fractional coordinates):
K  0.0000  0.0000  0.0000  6 Se 3.20
K  0.5000  0.0000  0.0000  6 Se 3.28
K  0.5000  0.0000  0.5000  6 Se 3.20
K  0.5000  0.5000  0.5000  6 Se 3.28
Dy  0.0000  0.5000  0.5000  6 Se 2.90-2.91
Dy  0.5000  0.5000  0.0000  6 Se 2.90-2.91
As  0.0000  0.0000  0.5000  6 Se 2.81-2.82
As  0.0000  0.5000  0.0000  6 Se 2.81-2.82
Se  0.2001  0.7377  0.4624  2 As 2.82, 1 Dy 2.91
Se  0.2247  0.2623  0.9624  2 As 2.82, 1 Dy 2.91
Se  0.2303  0.2551  0.5248  1 As 2.81, 2 Dy 2.90
Se  0.2303  0.7055  0.9752  1 As 2.81, 2 Dy 2.90
Se  0.7697  0.2945  0.0248  1 As 2.81, 2 Dy 2.90
Se  0.7697  0.7449  0.4752  1 As 2.81, 2 Dy 2.90
Se  0.7753  0.7377  0.0376  2 As 2.82, 1 Dy 2.91
Se  0.7999  0.2623  0.5376  2 As 2.82, 1 Dy 2.91

Uncorrected formation energy, eV/atom: -1.098
ρ, g/cm3: 4.68
V, Å³/cell: 447.7
E, eV/atom: -4.271

=====

6.
# K2ScF

A relaxed K2ScF crystal (PBE, Alexandria).

Lattice parameters (Å, degrees): 7.5349 7.5349 7.5349 117.14 117.14 95.04
Last column: nearest neighbours and their distance in Å.
Atoms (fractional coordinates):
K  0.3750  0.2224  0.3474  2 F 2.46
K  0.7776  0.1250  0.1526  2 F 2.46
K  0.8750  0.0276  0.6526  2 F 2.46
K  0.9724  0.6250  0.8474  2 F 2.46
Sc  0.2500  0.7500  0.5000  8 K 3.94-4.36
Sc  0.5000  0.5000  0.0000  8 K 3.94-4.36
F  0.0000  0.0000  0.0000  4 K 2.46
F  0.7500  0.2500  0.5000  4 K 2.46

Uncorrected formation energy, eV/atom: -0.648
ρ, g/cm3: 1.50
V, Å³/cell: 314.3
E, eV/atom: -3.248
Fermi-level density of states, states/eV per cell: 4.3
Energy above the lowest structure with this stoichiometry, eV per formula unit: 0.00